Entry 1:
## ZnCdHg4 (GGA-PBE)

Data for ZnCdHg4 after structural relaxation.

extended XYZ file:
```
12
Lattice="5.9161 0.2838 -2.0166 -0.2833 7.5342 -2.0774 -0.7238 -1.6160 7.3212" Properties=species:S:1:pos:R:3 pbc="T T T"
Hg 2.2301 2.7045 3.1493
Hg 3.3882 6.6015 -2.2056
Hg 4.1977 5.5247 2.0537
Hg 4.7951 0.9825 2.0352
Hg 0.7113 0.6773 1.1735
Hg 1.5209 -0.3995 5.4328
Hg 2.6789 3.4975 0.0779
Hg 0.1140 5.2195 1.1921
Cd 4.8755 2.9260 -2.2873
Cd 0.0335 3.2760 5.5145
Zn 2.5962 -0.6661 2.6523
Zn -0.5036 2.9591 2.6219
```

## Properties
DOS(E_F) in states/eV/f.u.: 1.4
V in Å³ per cell: 295.6
Formation enthalpy at 0 K in eV/atom: 0.05
Distance to the lowest polymorph of the same formula in eV/atom: 0.0000

***

Entry 2:
## ZnCdHg2 (GGA-PBE)

Data for ZnCdHg2 after structural relaxation.

extended XYZ file:
```
4
Lattice="3.2751 0.1218 0.0000 -1.0117 3.1173 0.0000 0.0000 0.0000 8.8842" Properties=species:S:1:pos:R:3 pbc="T T T"
Cd 1.1317 1.6195 6.6631
Zn 1.1317 1.6195 2.2210
Hg 0.0000 0.0000 4.2798
Hg 0.0000 0.0000 0.1623
```

## Properties
DOS(E_F) in states/eV/f.u.: 1.0
V in Å³ per cell: 91.8
Formation enthalpy at 0 K in eV/atom: 0.09
Distance to the lowest polymorph of the same formula in eV/atom: 0.0299

***

Entry 3:
## ZnCdHg2 (GGA-PBE)

Data for ZnCdHg2 after structural relaxation.

extended XYZ file:
```
8
Lattice="-3.3915 0.9199 2.7863 1.4656 -3.1582 2.8266 4.4717 5.3978 7.2701" Properties=species:S:1:pos:R:3 pbc="T T T"
Hg -0.7637 1.5147 3.8672
Hg 1.5551 -0.4946 3.9775
Hg 2.6553 3.1579 7.6032
Hg 1.6449 2.1409 10.3181
Cd 0.0586 2.5992 6.4314
Cd 0.0000 0.0000 0.0000
Zn -0.9630 -1.1192 2.8064
Zn 2.4872 0.5602 6.4516
```

## Properties
DOS(E_F) in states/eV/f.u.: 1.6
V in Å³ per cell: 192.8
Formation enthalpy at 0 K in eV/atom: 0.10
Distance to the lowest polymorph of the same formula in eV/atom: 0.0359

***

Entry 4:
## ZnCd5Hg (GGA-PBE)

Data for ZnCd5Hg after structural relaxation.

extended XYZ file:
```
14
Lattice="-2.4424 -0.7507 7.2487 -6.5623 -3.7188 1.4762 -1.7367 -8.0326 5.3697" Properties=species:S:1:pos:R:3 pbc="T T T"
Cd -9.2315 -11.4092 11.7811
Cd -2.9662 -2.5293 4.4828
Cd -7.8208 -7.0022 9.8561
Cd -7.7752 -9.9727 9.6118
Cd -2.9206 -5.4998 4.2384
Cd -1.5099 -1.0928 2.3135
Cd -4.6918 -7.1632 5.9665
Cd -6.7680 -8.9530 7.0402
Cd -6.0496 -5.3388 8.1280
Cd -3.9734 -3.5490 7.0543
Zn -5.2826 -7.8829 9.1214
Zn -5.4588 -4.6191 4.9731
Hg -0.8683 -4.0163 2.6848
Hg 0.0000 0.0000 0.0000
```

## Properties
DOS(E_F) in states/eV/f.u.: 1.6
V in Å³ per cell: 330.6
Formation enthalpy at 0 K in eV/atom: 0.08

***

Entry 5:
## ZnCd2Hg (GGA-PBE)

Data for ZnCd2Hg after structural relaxation.

extended XYZ file:
```
4
Lattice="-1.0004 -5.2825 -0.3962 2.2716 -0.2620 -2.2417 3.1175 -0.8840 3.9151" Properties=species:S:1:pos:R:3 pbc="T T T"
Hg 0.8471 -2.9278 0.2203
Zn 3.5417 -3.5008 1.0570
Cd 2.7053 -0.5765 0.8555
Cd 3.1067 -0.8805 3.8963
```

## Properties
DOS(E_F) in states/eV/f.u.: 1.3
V in Å³ per cell: 87.4
Formation enthalpy at 0 K in eV/atom: 0.07
Distance to the lowest polymorph of the same formula in eV/atom: 0.0200

***

Entry 6:
## Zn2CdHg (GGA-PBE)

Data for Zn2CdHg after structural relaxation.

extended XYZ file:
```
4
Lattice="4.9103 0.0000 0.0000 0.0000 3.2596 -0.0188 0.0000 -0.5305 5.1023" Properties=species:S:1:pos:R:3 pbc="T T T"
Hg 2.4552 2.0468 3.8126
Zn 0.0000 1.8001 2.4620
Zn 0.0000 2.8240 0.0609
Cd 2.4552 0.6823 1.2709
```

## Properties
DOS(E_F) in states/eV/f.u.: 1.2
V in Å³ per cell: 81.6
Formation enthalpy at 0 K in eV/atom: 0.11
Distance to the lowest polymorph of the same formula in eV/atom: 0.0318

***

Entry 7:
## Zn2Cd5Hg12 (GGA-PBE)

Data for Zn2Cd5Hg12 after structural relaxation.

extended XYZ file:
```
19
Lattice="-2.8427 -3.3518 -3.2701 9.3413 -7.5884 0.7953 4.7284 -9.0977 6.3522" Properties=species:S:1:pos:R:3 pbc="T T T"
Cd 2.1516 -7.4421 -0.2353
Cd 9.0755 -12.5958 4.1126
Cd -1.4213 -1.6759 -1.6351
Cd 9.5599 -15.7284 3.6639
Cd 1.6671 -4.3095 0.2134
Hg 5.5400 -12.0867 1.3160
Hg 6.6092 -14.6493 3.6189
Hg 4.9538 -8.6961 -0.3674
Hg 5.6870 -7.9511 2.5613
Hg 6.2732 -11.3417 4.2448
Hg 8.2677 -10.6891 1.8421
Hg 12.2010 -15.2942 5.9743
Hg -0.9740 -4.7436 -2.0969
Hg 2.6295 -6.0391 2.6538
Hg 8.5976 -13.9987 1.2236
Hg 2.9593 -9.3487 2.0352
Hg 4.6178 -5.3886 0.2585
Zn 8.4949 -7.8653 1.8149
Zn 5.5749 -8.8207 5.3325
```

## Properties
DOS(E_F) in states/eV/f.u.: 5.6
V in Å³ per cell: 463.3
Formation enthalpy at 0 K in eV/atom: 0.04

***

Entry 8:
## ZnCd6Hg10 (GGA-PBE)

Data for ZnCd6Hg10 after structural relaxation.

extended XYZ file:
```
17
Lattice="-3.9108 4.7795 -1.0098 -6.8605 -5.1664 2.1163 4.1081 4.6874 6.2761" Properties=species:S:1:pos:R:3 pbc="T T T"
Zn -1.9554 2.3897 -0.5049
Cd -0.3797 6.2871 3.0302
Cd -2.7179 1.0166 4.7584
Cd 0.5770 3.1798 2.2361
Cd -3.9453 3.2838 2.6242
Cd -3.8125 -0.7636 0.5714
Cd -6.9588 0.3766 0.5351
Hg 2.3109 4.5346 4.5500
Hg -5.1597 0.5079 2.9980
Hg -1.4692 0.8656 1.8235
Hg -4.7678 2.5478 -0.2903
Hg -5.1941 3.4349 5.5591
Hg 0.4519 1.4028 4.8895
Hg -1.5035 3.7925 4.3846
Hg -3.2043 -1.8818 3.5029
Hg -6.0035 -2.9348 1.3968
Hg -2.1136 4.9323 0.7163
```

## Properties
DOS(E_F) in states/eV/f.u.: 5.2
V in Å³ per cell: 424.0
Formation enthalpy at 0 K in eV/atom: 0.05

***

Entry 9:
## ZnCdHg2 (GGA-PBE)

Data for ZnCdHg2 after structural relaxation.

extended XYZ file:
```
4
Lattice="-0.1721 -2.4894 -2.0645 -0.3625 -2.0396 2.4895 -8.3560 0.9449 -0.4428" Properties=species:S:1:pos:R:3 pbc="T T T"
Hg -0.1747 0.0198 -0.0093
Hg -4.0033 0.4527 -0.2121
Cd -6.5343 -1.5558 -0.1196
Zn -2.3563 -2.0283 0.1018
```

## Properties
DOS(E_F) in states/eV/f.u.: 1.1
V in Å³ per cell: 88.3
Formation enthalpy at 0 K in eV/atom: 0.09
Distance to the lowest polymorph of the same formula in eV/atom: 0.0226

***

Entry 10:
## ZnCd2Hg (GGA-PBE)

Data for ZnCd2Hg after structural relaxation.

extended XYZ file:
```
8
Lattice="-1.7890 1.9635 4.0528 -2.9871 -2.0208 -3.2364 1.1613 -11.3244 5.9992" Properties=species:S:1:pos:R:3 pbc="T T T"
Hg -2.2974 -3.5238 0.6931
Hg -1.3174 -7.8579 6.1224
Cd -2.0349 -6.0838 2.0493
Cd -1.0549 -10.4178 7.4786
Cd -1.5799 -5.2979 4.7663
Cd -2.5599 -0.9638 -0.6631
Zn 0.0000 0.0000 0.0000
Zn 0.5806 -5.6622 2.9996
```

## Properties
DOS(E_F) in states/eV/f.u.: 2.0
V in Å³ per cell: 261.7
Formation enthalpy at 0 K in eV/atom: 0.18
Distance to the lowest polymorph of the same formula in eV/atom: 0.1271

***

Entry 11:
## ZnCd8Hg3 (GGA-PBE)

Data for ZnCd8Hg3 after structural relaxation.

extended XYZ file:
```
12
Lattice="7.9891 0.0000 -0.6203 -5.0371 4.8322 4.3050 -2.0851 0.0000 7.9897" Properties=species:S:1:pos:R:3 pbc="T T T"
Cd 0.9865 0.0000 2.0816
Cd -2.4080 2.3213 8.3268
Cd 3.5237 0.0000 0.0300
Cd 4.9542 2.5100 1.9125
Cd 4.0616 0.0000 5.9061
Cd -0.0829 2.3222 6.2174
Cd 2.6292 2.5109 4.0218
Cd 6.5949 0.0000 3.8520
Hg 2.7490 2.4164 6.9619
Hg 3.7898 0.0000 2.9684
Hg -0.2030 2.4158 3.2771
Zn -1.2441 0.0000 7.2719
```

## Properties
DOS(E_F) in states/eV/f.u.: 4.1
V in Å³ per cell: 302.2
Formation enthalpy at 0 K in eV/atom: 0.05

***

Entry 12:
## ZnCd2Hg (GGA-PBE)

Data for ZnCd2Hg after structural relaxation.

extended XYZ file:
```
4
Lattice="3.3993 0.0000 0.0000 0.0000 3.3993 0.0000 0.0000 0.0000 7.5073" Properties=species:S:1:pos:R:3 pbc="T T T"
Zn 1.6997 1.6997 5.6439
Cd 0.0000 0.0000 7.3458
Cd 1.6997 1.6997 1.8592
Hg 0.0000 0.0000 3.9195
```

## Properties
DOS(E_F) in states/eV/f.u.: 1.2
V in Å³ per cell: 86.8
Formation enthalpy at 0 K in eV/atom: 0.09
Distance to the lowest polymorph of the same formula in eV/atom: 0.0380